(1)
First-principles (PBE) data for a relaxed PrZn3Cu8 crystal, as listed in Alexandria.

Lattice parameters (Å, degrees): 4.9789 4.9789 8.2248 90.00 90.00 120.00
With the nearest neighbours (Å) after each atom.
Fractional positions:
Pr: 0.0000 0.0000 0.0000  12 Cu 2.93-3.04, 4 Zn 3.27-3.28
Zn: 0.0000 0.0000 0.3982  12 Cu 2.68-2.97, 3 Zn 2.95
Zn: 0.6667 0.3333 0.4814  4 Zn 2.69-2.95, 12 Cu 2.71-2.95
Zn: 0.6667 0.3333 0.8084  1 Zn 2.69, 6 Cu 2.72
Cu: 0.1655 0.3311 0.6741  6 Cu 2.45-2.56, 3 Zn 2.68-2.72
Cu: 0.1655 0.8345 0.6741  6 Cu 2.45-2.56, 3 Zn 2.68-2.72
Cu: 0.3333 0.6667 0.4344  6 Cu 2.42-2.45
Cu: 0.3333 0.6667 0.9306  6 Cu 2.56-2.66
Cu: 0.5028 0.0056 0.2006  6 Cu 2.42-2.66
Cu: 0.5028 0.4972 0.2006  6 Cu 2.42-2.66
Cu: 0.6689 0.8345 0.6741  6 Cu 2.45-2.56, 3 Zn 2.68-2.72
Cu: 0.9944 0.4972 0.2006  6 Cu 2.42-2.66

Computed properties:
As for the crystal system: trigonal. Its calculated volume is 176.6 Å³/f.u. Its formation energy is -51 meV/atom. The calculation puts the final energy at -42.0 eV for the cell shown. The density of states at the Fermi level is 0.450 states/eV/atom.

(2)
First-principles (PBE) data for a relaxed La2SiAu crystal, as listed in Alexandria.

Lattice parameters (Å, degrees): 4.3945 4.3945 7.7149 106.40 106.40 59.95
With the nearest neighbours (Å) after each atom.
Fractional positions:
La: 0.2427 0.2427 0.2298  3 Si 3.04, 3 Au 3.20-3.22
La: 0.7573 0.7573 0.7702  3 Si 3.04, 3 Au 3.20-3.22
Si: 0.5000 0.5000 0.0000  6 La 3.04
Au: 0.0000 0.0000 0.5000  6 La 3.20-3.22

Computed properties:
Its uncorrected formation energy is -0.62 eV per atom. As for the crystal system: monoclinic. Its calculated volume is 121.9 Å³/f.u. The calculation puts the final energy at -21.0 eV for the cell shown. The density of states at the Fermi level is 1.034 states/eV/atom.

(3)
First-principles (PBE) data for a relaxed ZnCrSn crystal, as listed in Alexandria.

Lattice parameters (Å, degrees): 2.9438 4.3745 4.5299 90.00 90.00 90.00
With the nearest neighbours (Å) after each atom.
Fractional positions:
Zn: 0.0000 0.0000 0.0000  4 Cr 2.64, 2 Zn 2.94
Cr: 0.5000 0.5000 0.0000  4 Zn 2.64, 4 Sn 2.70, 2 Cr 2.94
Sn: 0.0000 0.5000 0.5000  4 Cr 2.70, 2 Sn 2.94

Computed properties:
As for the crystal system: orthorhombic. Its calculated volume is 58.3 Å³/f.u. Its formation energy is 238 meV/atom. The calculation puts the final energy at -14.2 eV for the cell shown. The density of states at the Fermi level is 0.614 states/eV/atom.

(4)
First-principles (PBE) data for a relaxed La3Pr4TmSe8 crystal, as listed in Alexandria.

Lattice parameters (Å, degrees): 8.5075 8.5075 8.5075 60.08 60.08 60.08
With the nearest neighbours (Å) after each atom.
Fractional positions:
La: 0.0000 0.5000 0.5000  6 Se 3.02
La: 0.5000 0.0000 0.5000  6 Se 3.02
La: 0.5000 0.5000 0.0000  6 Se 3.02
Pr: 0.0000 0.0000 0.5000  6 Se 3.00-3.01
Pr: 0.0000 0.5000 0.0000  6 Se 3.00-3.01
Pr: 0.5000 0.0000 0.0000  6 Se 3.00-3.01
Pr: 0.5000 0.5000 0.5000  6 Se 3.12
Tm: 0.0000 0.0000 0.0000  6 Se 2.90
Se: 0.2401 0.7588 0.7588  1 Tm 2.90, 3 Pr 3.01-3.12, 2 La 3.02
Se: 0.2412 0.2412 0.7599  1 Tm 2.90, 3 Pr 3.01-3.12, 2 La 3.02
Se: 0.2412 0.7599 0.2412  1 Tm 2.90, 3 Pr 3.01-3.12, 2 La 3.02
Se: 0.2495 0.2495 0.2495  3 Pr 3.00, 3 La 3.02
Se: 0.7505 0.7505 0.7505  3 Pr 3.00, 3 La 3.02
Se: 0.7588 0.2401 0.7588  1 Tm 2.90, 3 Pr 3.01-3.12, 2 La 3.02
Se: 0.7588 0.7588 0.2401  1 Tm 2.90, 3 Pr 3.01-3.12, 2 La 3.02
Se: 0.7599 0.2412 0.2412  1 Tm 2.90, 3 Pr 3.01-3.12, 2 La 3.02

Computed properties:
Its uncorrected formation energy is -1.88 eV per atom. As for the crystal system: trigonal. Its calculated volume is 436.2 Å³/f.u. The calculation puts the final energy at -96.3 eV for the cell shown. The density of states at the Fermi level is 0.602 states/eV/atom.

(5)
First-principles (PBE) data for a relaxed AlCdPt2 crystal, as listed in Alexandria.

Lattice parameters (Å, degrees): 5.1428 5.1428 4.6868 103.45 103.45 33.25
With the nearest neighbours (Å) after each atom.
Fractional positions:
Al: 0.0000 0.0000 0.0000  6 Pt 2.58-2.86
Cd: 0.7564 0.7564 0.3621  7 Pt 2.73-2.84, 2 Cd 2.94, 2 Al 3.06
Pt: 0.2782 0.2782 0.8775  2 Al 2.58, 4 Cd 2.76-2.79
Pt: 0.5095 0.5095 0.5288  4 Al 2.67-2.86, 3 Cd 2.73-2.84, 2 Pt 2.94

Computed properties:
As for the crystal system: monoclinic. Its calculated volume is 65.9 Å³/f.u. Its formation energy is -525 meV/atom. The calculation puts the final energy at -18.8 eV for the cell shown. The density of states at the Fermi level is 0.304 states/eV/atom.

(6)
First-principles (PBE) data for a relaxed PmZrPt crystal, as listed in Alexandria.

Lattice parameters (Å, degrees): 4.7133 4.7133 6.8199 90.00 90.00 90.00
With the nearest neighbours (Å) after each atom.
Fractional positions:
Pm: 0.2500 0.2500 0.1233  1 Pt 2.88
Pm: 0.7500 0.7500 0.8767  1 Pt 2.88
Zr: 0.2500 0.7500 0.5000  4 Pt 2.72
Zr: 0.7500 0.2500 0.5000  4 Pt 2.72
Pt: 0.2500 0.2500 0.7004  4 Zr 2.72, 1 Pm 2.88
Pt: 0.7500 0.7500 0.2996  4 Zr 2.72, 1 Pm 2.88

Computed properties:
As for the crystal system: tetragonal. Its calculated volume is 75.8 Å³/f.u. Its formation energy is -807 meV/atom. The calculation puts the final energy at -43.5 eV for the cell shown. As for the energy above the most stable polymorph in this dataset: 0 meV/atom. The density of states at the Fermi level is 0.874 states/eV/atom.

(7)
First-principles (PBE) data for a relaxed K3TiS crystal, as listed in Alexandria.

Lattice parameters (Å, degrees): 6.1332 6.1332 6.1332 90.00 90.00 90.00
With the nearest neighbours (Å) after each atom.
Fractional positions:
K: 0.0000 0.0000 0.5000  2 S 3.07
K: 0.0000 0.5000 0.0000  2 S 3.07
K: 0.5000 0.0000 0.0000  2 S 3.07
Ti: 0.5000 0.5000 0.5000  12 K 4.34
S: 0.0000 0.0000 0.0000  6 K 3.07

Computed properties:
Its uncorrected formation energy is 0.21 eV per atom. As for the crystal system: cubic. Its calculated volume is 230.7 Å³/f.u. The calculation puts the final energy at -14.3 eV for the cell shown. As for the energy above the most stable polymorph in this dataset: 0 meV/atom. The density of states at the Fermi level is 0.722 states/eV/atom.

(8)
First-principles (PBE) data for a relaxed Y2NpRu3 crystal, as listed in Alexandria.

Lattice parameters (Å, degrees): 5.8286 5.8286 7.9863 90.00 90.00 120.00
With the nearest neighbours (Å) after each atom.
Fractional positions:
Y: 0.3333 0.6667 0.0569  9 Ru 2.98-3.30, 1 Y 3.08
Y: 0.3333 0.6667 0.4431  9 Ru 2.98-3.30, 1 Y 3.08
Y: 0.6667 0.3333 0.5569  9 Ru 2.98-3.30, 1 Y 3.08
Y: 0.6667 0.3333 0.9431  9 Ru 2.98-3.30, 1 Y 3.08
Np: 0.0000 0.0000 0.0000  6 Ru 2.60
Np: 0.0000 0.0000 0.5000  6 Ru 2.60
Ru: 0.1651 0.3302 0.7500  2 Np 2.60, 2 Ru 2.89
Ru: 0.1651 0.8349 0.7500  2 Np 2.60, 2 Ru 2.89
Ru: 0.3302 0.1651 0.2500  2 Np 2.60, 2 Ru 2.89
Ru: 0.6698 0.8349 0.7500  2 Np 2.60, 2 Ru 2.89
Ru: 0.8349 0.1651 0.2500  2 Np 2.60, 2 Ru 2.89
Ru: 0.8349 0.6698 0.2500  2 Np 2.60, 2 Ru 2.89

Computed properties:
As for the crystal system: hexagonal. Its calculated volume is 117.5 Å³/f.u. Its formation energy is -378 meV/atom. The calculation puts the final energy at -111.9 eV for the cell shown. As for the energy above the most stable polymorph in this dataset: 0 meV/atom. The density of states at the Fermi level is 0.973 states/eV/atom.

(9)
First-principles (PBE) data for a relaxed TiHSe2 crystal, as listed in Alexandria.

Lattice parameters (Å, degrees): 6.8507 6.8507 6.8507 30.75 30.75 30.75
With the nearest neighbours (Å) after each atom.
Fractional positions:
Ti: 0.0000 0.0000 0.0000  6 Se 2.58
H: 0.5000 0.5000 0.5000  2 Se 1.76
Se: 0.4101 0.4101 0.4101  1 H 1.76
Se: 0.5899 0.5899 0.5899  1 H 1.76

Computed properties:
As for the crystal system: trigonal. Its calculated volume is 74.5 Å³/f.u. The calculation puts the final energy at -20.9 eV for the cell shown. As for the energy above the most stable polymorph in this dataset: 0 meV/atom. The density of states at the Fermi level is 0.609 states/eV/atom.

(10)
First-principles (PBE) data for a relaxed Pm2Ni3Ge crystal, as listed in Alexandria.

Lattice parameters (Å, degrees): 3.9175 4.0789 7.1652 90.00 90.00 90.00
With the nearest neighbours (Å) after each atom.
Fractional positions:
Pm: 0.0000 0.0000 0.0000  8 Ni 3.03-3.18, 4 Ge 3.11
Pm: 0.0000 0.5000 0.4800  10 Ni 3.05-3.08, 2 Ge 3.12
Ni: 0.5000 0.0000 0.3220  3 Ni 2.36-2.37
Ni: 0.5000 0.0000 0.6512  1 Ni 2.36, 2 Ge 2.37
Ni: 0.5000 0.5000 0.1521  2 Ni 2.37, 1 Ge 2.39
Ge: 0.5000 0.5000 0.8184  3 Ni 2.37-2.39

Computed properties:
As for the crystal system: orthorhombic. Its calculated volume is 114.5 Å³/f.u. Its formation energy is -503 meV/atom. The calculation puts the final energy at -34.5 eV for the cell shown. The density of states at the Fermi level is 0.717 states/eV/atom.